Record 1
Computed, not measured: a relaxed CrHS crystal at the PBE-GGA level of DFT.

Lattice parameters (Å, degrees): 3.309 4.797 4.647 90.00 112.67 90.00
Site moments in Bohr magnetons follow the coordinates.
Fractional positions:
Cr: 0.334 0.000 0.170  2.92
Cr: 0.334 0.500 0.670  2.92
H: 0.899 0.000 0.312  -0.05
H: 0.899 0.500 0.812  -0.05
S: 0.573 0.000 0.740  -0.11
S: 0.573 0.500 0.240  -0.11

Space group = Cm
DFT total energy = -17.46 eV per formula unit

***

Record 2
Computed, not measured: a relaxed K2MgNiP2 crystal at the PBE-GGA level of DFT.

Lattice parameters (Å, degrees): 6.006 6.006 8.951 109.61 109.60 90.00
Fractional positions:
K: 0.421 0.171 0.342
K: 0.579 0.829 0.658
K: 0.079 0.329 0.658
K: 0.921 0.671 0.342
Mg: 0.000 0.750 0.000
Mg: 0.000 0.250 0.000
Ni: 0.500 0.750 0.000
Ni: 0.500 0.250 0.000
P: 0.793 0.079 0.157
P: 0.365 0.579 0.157
P: 0.635 0.421 0.843
P: 0.207 0.921 0.843

Space group = Ibam
Calculated formation energy = -403.4 meV/atom

***

Record 3
Computed, not measured: a relaxed Li2CaTlHg2 crystal at the PBE-GGA level of DFT.

Lattice parameters (Å, degrees): 4.859 4.859 6.689 90.00 90.00 120.00
Fractional positions:
Li: 0.333 0.667 0.671
Li: 0.667 0.333 0.329
Ca: 0.000 0.000 0.000
Tl: 0.000 0.000 0.500
Hg: 0.333 0.667 0.235
Hg: 0.667 0.333 0.765

Space group = P-3m1
Calculated formation energy = -370.9 meV/atom

***

Record 4
Computed, not measured: a relaxed LiSbP4 crystal at the PBE-GGA level of DFT.

Lattice parameters (Å, degrees): 5.376 5.376 5.376 60.00 60.00 60.00
Fractional positions:
Li: 0.000 0.000 0.000
Sb: 0.750 0.750 0.750
P: 0.918 0.361 0.361
P: 0.361 0.361 0.918
P: 0.361 0.918 0.361
P: 0.361 0.361 0.361

Space group = F-43m
Formation energy (no corrections) = 0.3653 eV per atom

***

Record 5
Computed, not measured: a relaxed Pr2Ni4Sb3Pt crystal at the PBE-GGA level of DFT.

Lattice parameters (Å, degrees): 4.347 4.347 10.284 90.00 90.00 90.00
Fractional positions:
Pr: 0.500 0.000 0.251
Pr: 0.000 0.500 0.749
Ni: 0.500 0.500 0.000
Ni: 0.000 0.000 0.000
Ni: 0.500 0.000 0.629
Ni: 0.000 0.500 0.371
Sb: 0.000 0.000 0.500
Sb: 0.500 0.000 0.871
Sb: 0.000 0.500 0.129
Pt: 0.500 0.500 0.500

Space group = P-4m2
Formation energy (no corrections) = -0.6444 eV per atom

***

Record 6
Computed, not measured: a relaxed Ba4IrBr2 crystal at the PBE-GGA level of DFT.

Lattice parameters (Å, degrees): 6.155 6.155 9.260 109.41 109.41 90.00
Site moments in Bohr magnetons follow the coordinates.
Fractional positions:
Ir: 0.000 0.000 0.000  -0.01
Ba: 0.810 0.810 0.619  0.07
Ba: 0.190 0.190 0.381  0.07
Ba: 0.000 0.500 0.000  0.01
Ba: 0.500 0.000 0.000  0.01
Br: 0.610 0.610 0.219  0.01
Br: 0.390 0.390 0.781  0.01

Space group = I4/mmm
Energy relative to the lowest polymorph listed for this composition = 0.131 eV per atom
Formation energy (no corrections) = -0.8684 eV per atom

***

Record 7
Computed, not measured: a relaxed CuRe2Mo crystal at the PBE-GGA level of DFT.

Lattice parameters (Å, degrees): 4.363 4.363 4.363 60.00 60.00 60.00
Fractional positions:
Cu: 0.500 0.500 0.500
Mo: 0.250 0.250 0.250
Re: 0.000 0.000 0.000
Re: 0.750 0.750 0.750

Space group = F-43m
Energy relative to the lowest polymorph listed for this composition = 0.121 eV per atom
Calculated formation energy = 295.8 meV/atom

***

Record 8
Computed, not measured: a relaxed ZrInPb crystal at the PBE-GGA level of DFT.

Lattice parameters (Å, degrees): 5.948 5.948 5.948 147.17 139.23 53.30
Fractional positions:
In: 0.010 0.010 0.000
Pb: 0.330 0.330 0.000
Zr: 0.660 0.660 0.000

Space group = Imm2
Energy relative to the lowest polymorph listed for this composition = 0.079 eV per atom
Calculated formation energy = -10.4 meV/atom

***

Record 9
Computed, not measured: a relaxed Ba2NaNp3Se8 crystal at the PBE-GGA level of DFT.

Lattice parameters (Å, degrees): 8.653 8.653 9.127 61.70 61.70 60.00
Site moments in Bohr magnetons follow the coordinates.
Fractional positions:
Ba: 0.128 0.128 0.616  -0.01
Ba: 0.500 0.500 0.501  -0.01
Na: 0.882 0.882 0.355  0.00
Np: 0.501 0.992 0.006  3.59
Np: 0.992 0.501 0.006  3.59
Np: 0.501 0.501 0.006  3.59
Se: 0.267 0.267 0.198  -0.10
Se: 0.733 0.733 0.800  -0.11
Se: 0.247 0.247 0.806  -0.09
Se: 0.699 0.247 0.806  -0.09
Se: 0.247 0.699 0.806  -0.09
Se: 0.754 0.287 0.205  -0.10
Se: 0.287 0.754 0.205  -0.10
Se: 0.754 0.754 0.205  -0.10

Space group = R3m
Formation energy (no corrections) = -1.3348 eV per atom

***

Record 10
Computed, not measured: a relaxed InSnSb crystal at the PBE-GGA level of DFT.

Lattice parameters (Å, degrees): 3.969 3.969 5.979 109.38 109.38 90.00
Fractional positions:
Sb: 0.673 0.673 0.346
Sn: 0.323 0.323 0.647
In: 0.004 0.004 0.008

Space group = I4mm
Energy relative to the lowest polymorph listed for this composition = 0.068 eV per atom
Formation energy (no corrections) = 0.0653 eV per atom